Computed, not measured: crystalline NpScP2 at its relaxed geometry at the PBE level of DFT.

Structure (POSCAR):
```
NpScP2
1.0
3.865 0.000 0.000
1.932 3.347 0.000
1.932 1.116 6.262
Np Sc P
1 1 2
direct
0.500 0.500 0.500
0.000 0.000 0.000
0.747 0.747 0.760
0.253 0.253 0.240
```

Computed properties:
ΔH_f (0 K) in eV per atom: -1.18
Calculated total energy in eV/atom: -8.70
Crystal system: trigonal
Energy above the lowest structure with this stoichiometry in eV/atom: 0.000
Space-group type: R-3m